(1)
The following is a PBE calculation of an optimized crystal structure of LiHf6Rh5, from Alexandria via LeMat-Bulk.

The space group is Immm (No. 71) and the conventional cell measures 4.5884, 6.5668 and 13.9612 Å, with angles of 90.00, 90.00 and 90.00 degrees. The inequivalent atoms are Li at (0.0000, 0.0000, 0.0000), Hf at (0.0000, 0.2446, 0.5000), Hf at (0.0000, 0.2535, 0.1670), Rh at (0.0000, 0.0000, 0.3244), Rh at (0.0000, 0.5000, 0.0000) and Rh at (0.0000, 0.5000, 0.3447).

Its energy of formation is -829 kJ/mol of formula units.


(2)
The following is a PBE calculation of an optimized crystal structure of La5SmY2Ho, from Alexandria via LeMat-Bulk.

The space group is I4/mcm (No. 140) and the conventional cell measures 9.5823, 9.5823 and 14.1032 Å, with angles of 90.00, 90.00 and 90.00 degrees. The inequivalent atoms are La at (0.0000, 0.0000, 0.0000), La at (0.2019, 0.2981, 0.1383), Sm at (0.0000, 0.0000, 0.2500), Y at (0.1082, 0.3918, 0.5000) and Ho at (0.0000, 0.5000, 0.2500).

Its energy of formation is 261 kJ/mol of formula units.


(3)
The following is a PBE calculation of an optimized crystal structure of LiZn2Tc, from Alexandria via LeMat-Bulk.

The space group is P4/mmm (No. 123) and the conventional cell measures 2.8025, 2.8025 and 7.1326 Å, with angles of 90.00, 90.00 and 90.00 degrees. The inequivalent atoms are Li at (0.0000, 0.0000, 0.0000), Zn at (0.5000, 0.5000, 0.2410) and Tc at (0.0000, 0.0000, 0.5000).

Its offset from the most stable computed form is 44 kJ/mol of formula units. Its energy of formation is 10 kJ/mol of formula units.


(4)
The following is a PBE calculation of an optimized crystal structure of Ti2Tl3CrSe6, from Alexandria via LeMat-Bulk.

The space group is C2/m (No. 12) and the conventional cell measures 6.2323, 10.7929 and 8.8796 Å, with angles of 90.00, 103.67 and 90.00 degrees. The inequivalent atoms are Ti at (0.0000, 0.1666, 0.0000), Tl at (0.0000, 0.0000, 0.5000), Tl at (0.0000, 0.3346, 0.5000), Cr at (0.0000, 0.5000, 0.0000), Se at (0.2233, 0.3356, 0.1749) and Se at (0.2303, 0.0000, 0.1749).

As for the formation energy (no corrections): -0.724 eV/atom.


| no. | mass density (Mg/m³) | magnetization (μB/cell) |
| --- | --- | --- |
| 1 | 12.57 | 0.0 |
| 2 | 6.09 | 0.0 |
| 3 | 6.99 | 0.6 |
| 4 | 7.07 | 5.1 |